! PBE Ga3WBr, optimized geometry; values from VASP
! crystal system: cubic
! volume: 148.70 Å³ per cell
! total moment: 4.1 μB/f.u.
! formation energy from raw total energies: 1.546 eV/atom
! relative energy among the computed polymorphs: 487 kJ/mol of formula units
&SYSTEM
  ibrav = 0, nat = 5, ntyp = 3
/
ATOMIC_SPECIES
Ga 69.72 Ga.upf
W 183.84 W.upf
Br 79.90 Br.upf
CELL_PARAMETERS angstrom
5.298 0.000 0.000
0.000 5.298 0.000
0.000 0.000 5.298
ATOMIC_POSITIONS angstrom
Ga 0.000 0.000 2.649
Ga 0.000 2.649 0.000
Ga 2.649 0.000 0.000
W 2.649 2.649 2.649
Br 0.000 0.000 0.000

! PBE BaTaTe2, optimized geometry; values from VASP
! crystal system: tetragonal
! volume: 342.02 Å³ per cell
! total moment: 2.3 μB/f.u.
! formation energy from raw total energies: -0.215 eV/atom
! relative energy among the computed polymorphs: 109 kJ/mol of formula units
&SYSTEM
  ibrav = 0, nat = 8, ntyp = 3
/
ATOMIC_SPECIES
Ba 137.33 Ba.upf
Ta 180.95 Ta.upf
Te 127.60 Te.upf
CELL_PARAMETERS angstrom
-3.458 3.458 7.152
3.458 -3.458 7.152
3.458 3.458 -7.152
ATOMIC_POSITIONS angstrom
Ba 0.000 0.000 0.000
Ba 0.000 3.458 3.576
Ta 3.458 0.000 3.576
Ta 0.000 0.000 7.152
Te 1.729 -1.128 5.364
Te 2.329 1.729 1.788
Te 1.729 4.586 -1.788
Te 1.128 1.729 8.940

! PBE La4AsPbBr2, optimized geometry; values from VASP
! crystal system: monoclinic
! volume: 253.08 Å³ per cell
! total moment: 0.0 μB/f.u.
! formation energy from raw total energies: -1.259 eV/atom
&SYSTEM
  ibrav = 0, nat = 8, ntyp = 4
/
ATOMIC_SPECIES
La 138.91 La.upf
As 74.92 As.upf
Pb 207.20 Pb.upf
Br 79.90 Br.upf
CELL_PARAMETERS angstrom
7.583 0.000 0.000
0.000 4.503 0.000
-2.696 0.000 7.412
ATOMIC_POSITIONS angstrom
La 1.126 0.000 1.675
La -0.235 2.251 5.684
La 5.122 2.251 1.727
La 3.761 0.000 5.737
As 0.000 2.251 0.000
Pb -1.348 0.000 3.706
Br 3.792 0.000 0.000
Br 2.443 2.251 3.706

! PBE LiZnTe2, optimized geometry; values from VASP
! crystal system: cubic
! volume: 99.76 Å³ per cell
! total moment: 0.0 μB/f.u.
! formation energy from raw total energies: 0.024 eV/atom
&SYSTEM
  ibrav = 0, nat = 4, ntyp = 3
/
ATOMIC_SPECIES
Li 6.94 Li.upf
Zn 65.41 Zn.upf
Te 127.60 Te.upf
CELL_PARAMETERS angstrom
0.000 3.681 3.681
3.681 0.000 3.681
3.681 3.681 0.000
ATOMIC_POSITIONS angstrom
Li 0.000 0.000 0.000
Zn 1.841 1.841 1.841
Te 3.681 3.681 3.681
Te 5.522 5.522 5.522

! PBE Nd7Bi3C2, optimized geometry; values from VASP
! crystal system: orthorhombic
! volume: 335.98 Å³ per cell
! total moment: 0.0 μB/f.u.
! DFT formation energy: -6.237 eV/f.u.
&SYSTEM
  ibrav = 0, nat = 12, ntyp = 3
/
ATOMIC_SPECIES
Nd 144.24 Nd.upf
Bi 208.98 Bi.upf
C 12.01 C.upf
CELL_PARAMETERS angstrom
2.562 -12.996 0.000
2.562 12.996 0.000
0.000 0.000 5.046
ATOMIC_POSITIONS angstrom
Nd 0.000 0.000 0.000
Nd 2.562 10.515 2.523
Nd 2.562 7.894 0.000
Nd 2.562 2.515 0.000
Nd 2.562 -2.515 0.000
Nd 2.562 -7.894 0.000
Nd 2.562 -10.515 2.523
Bi 2.562 4.912 2.523
Bi 2.562 0.000 2.523
Bi 2.562 -4.912 2.523
C 2.562 10.330 0.000
C 2.562 -10.330 0.000

! PBE TaReTe2C, optimized geometry; values from VASP
! crystal system: tetragonal
! volume: 89.62 Å³ per cell
! total moment: 0.0 μB/f.u.
! formation energy from raw total energies: 1.273 eV/atom
&SYSTEM
  ibrav = 0, nat = 5, ntyp = 4
/
ATOMIC_SPECIES
Ta 180.95 Ta.upf
Re 186.21 Re.upf
Te 127.60 Te.upf
C 12.01 C.upf
CELL_PARAMETERS angstrom
4.650 0.000 0.000
0.000 4.650 0.000
0.000 0.000 4.144
ATOMIC_POSITIONS angstrom
Ta 0.000 0.000 0.000
Re 2.325 2.325 0.000
Te 0.000 2.325 2.072
Te 2.325 0.000 2.072
C 0.000 0.000 2.072